BeCdTe2N: optimized geometry, PBE.

Cell lengths 5.742, 5.742, 3.119 Å; angles 90.00, 90.00, 90.00 degrees
Element x y z (fractional)
1 Be 0.000 0.000 0.000
2 N 0.000 0.000 0.500
3 Te 0.000 0.500 0.000
4 Te 0.500 0.000 0.000
5 Cd 0.500 0.500 0.500

Results
Formation energy from raw total energies   0.27 eV per atom
Calculated total energy   -17.88 eV/f.u.